Record 1
Computed, not measured: an optimized crystal structure of NiGe3H at the PBE-GGA level of DFT.

Cell: 4.5459 4.5459 4.5459 Å, 90.00 90.00 90.00°
Atoms (fractional coordinates):
Ni: 0.0000 0.0000 0.0000
Ge: 0.0000 0.0000 0.5000
Ge: 0.0000 0.5000 0.0000
Ge: 0.5000 0.0000 0.0000
H: 0.5000 0.5000 0.5000

Output
Final energy = -19.92 eV/cell
SG = No. 221
Total moment = 0.0 Bohr magnetons per cell
Energy above the most stable polymorph in this dataset = 0.720 eV/f.u.

***

Record 2
Computed, not measured: an optimized crystal structure of NaAsF6 at the PBE-GGA level of DFT.

Cell: 5.6808 5.6808 5.6808 Å, 55.06 55.06 55.06°
Atoms (fractional coordinates):
Na: 0.0000 0.0000 0.0000
As: 0.5000 0.5000 0.5000
F: 0.1576 0.7080 0.4208
F: 0.2920 0.5792 0.8424
F: 0.4208 0.1576 0.7080
F: 0.5792 0.8424 0.2920
F: 0.7080 0.4208 0.1576
F: 0.8424 0.2920 0.5792

Output
Final energy = -36.22 eV/cell
Formation energy (no corrections) = -2.378 eV/atom
SG = No. 148
Total moment = 0.0 Bohr magnetons per cell

***

Record 3
Computed, not measured: an optimized crystal structure of PmUNiRu at the PBE-GGA level of DFT.

Cell: 4.8258 4.8258 4.8258 Å, 60.00 60.00 60.00°
Atoms (fractional coordinates):
Pm: 0.0000 0.0000 0.0000
U: 0.5000 0.5000 0.5000
Ni: 0.2500 0.2500 0.2500
Ru: 0.7500 0.7500 0.7500

Output
Final energy = -31.28 eV/cell
Energy of formation from the pure elements = -0.05 eV per atom
SG = No. 216
Total moment = 2.3 Bohr magnetons per cell

***

Record 4
Computed, not measured: an optimized crystal structure of Tb3Y8Ho3 at the PBE-GGA level of DFT.

Cell: 9.6378 9.6378 9.6378 Å, 146.01 112.10 78.15°
Atoms (fractional coordinates):
Tb: 0.0000 0.0000 0.0000
Tb: 0.2993 0.0000 0.2993
Tb: 0.7007 0.0000 0.7007
Y: 0.0552 0.3963 0.6589
Y: 0.0640 0.2222 0.8418
Y: 0.2626 0.6037 0.6589
Y: 0.3805 0.2222 0.1582
Y: 0.6195 0.7778 0.8418
Y: 0.7374 0.3963 0.3411
Y: 0.9360 0.7778 0.1582
Y: 0.9448 0.6037 0.3411
Ho: 0.3186 0.8186 0.5000
Ho: 0.5000 0.5000 0.0000
Ho: 0.6814 0.1814 0.5000

Output
Final energy = -77.57 eV/cell
Energy of formation from the pure elements = 0.13 eV per atom
SG = No. 71
Total moment = 0.0 Bohr magnetons per cell
Energy above the most stable polymorph in this dataset = 0.062 eV/f.u.

***

Record 5
Computed, not measured: an optimized crystal structure of CoAgRu2 at the PBE-GGA level of DFT.

Cell: 4.8108 4.8108 4.8108 Å, 134.26 134.26 66.67°
Atoms (fractional coordinates):
Co: 0.0000 0.0000 0.0000
Ag: 0.5000 0.5000 0.0000
Ru: 0.2500 0.7500 0.5000
Ru: 0.7500 0.2500 0.5000

Output
Final energy = -26.22 eV/cell
Energy of formation from the pure elements = 0.57 eV per atom
SG = No. 139
Total moment = 0.9 Bohr magnetons per cell

***

Record 6
Computed, not measured: an optimized crystal structure of Hf6ReOs at the PBE-GGA level of DFT.

Cell: 8.0994 8.0994 8.0994 Å, 146.77 146.77 47.70°
Atoms (fractional coordinates):
Hf: 0.1079 0.6079 0.5000
Hf: 0.2483 0.2483 0.0000
Hf: 0.3921 0.8921 0.5000
Hf: 0.6079 0.1079 0.5000
Hf: 0.7517 0.7517 0.0000
Hf: 0.8921 0.3921 0.5000
Re: 0.0000 0.0000 0.0000
Os: 0.5000 0.5000 0.0000

Output
Final energy = -85.20 eV/cell
Energy of formation from the pure elements = -0.22 eV per atom
SG = No. 139
Total moment = 0.0 Bohr magnetons per cell
Energy above the most stable polymorph in this dataset = 0.000 eV/f.u.

***

Record 7
Computed, not measured: an optimized crystal structure of SbP2SO at the PBE-GGA level of DFT.

Cell: 5.1044 5.1044 3.8823 Å, 90.00 90.00 90.00°
Atoms (fractional coordinates):
Sb: 0.0000 0.0000 0.0000
P: 0.0000 0.5000 0.0000
P: 0.5000 0.0000 0.0000
S: 0.5000 0.5000 0.5000
O: 0.0000 0.0000 0.5000

Output
Final energy = -20.51 eV/cell
Formation energy (no corrections) = 0.704 eV/atom
SG = No. 123
Total moment = 0.0 Bohr magnetons per cell
Energy above the most stable polymorph in this dataset = 1.659 eV/f.u.

***

Record 8
Computed, not measured: an optimized crystal structure of InFeAs2 at the PBE-GGA level of DFT.

Cell: 8.7880 8.7880 8.7880 Å, 160.46 159.77 28.27°
Atoms (fractional coordinates):
In: 0.0000 0.0000 0.0000
Fe: 0.7668 0.2668 0.5000
As: 0.3354 0.8354 0.5000
As: 0.6574 0.6574 0.0000

Output
Final energy = -20.24 eV/cell
Energy of formation from the pure elements = 0.07 eV per atom
SG = No. 44
Total moment = 1.3 Bohr magnetons per cell

***

Record 9
Computed, not measured: an optimized crystal structure of RbGaH at the PBE-GGA level of DFT.

Cell: 6.9403 6.9403 9.0165 Å, 130.38 130.38 37.71°
Atoms (fractional coordinates):
Rb: 0.0000 0.0000 0.0000
Rb: 0.0000 0.0000 0.5000
Ga: 0.2977 0.2977 0.5557
Ga: 0.7023 0.7023 0.4443
H: 0.4716 0.4716 0.7182
H: 0.5284 0.5284 0.2818

Output
Final energy = -15.44 eV/cell
SG = No. 12
Total moment = 0.0 Bohr magnetons per cell
Energy above the most stable polymorph in this dataset = 0.108 eV/f.u.

***

Record 10
Computed, not measured: an optimized crystal structure of Hf2AlFe at the PBE-GGA level of DFT.

Cell: 5.8743 5.8743 5.8743 Å, 102.79 102.79 123.85°
Atoms (fractional coordinates):
Hf: 0.0717 0.6250 0.9467
Hf: 0.3750 0.3217 0.4467
Hf: 0.6783 0.1250 0.0533
Hf: 0.8750 0.9283 0.5533
Al: 0.2500 0.7500 0.5000
Al: 0.5000 0.5000 0.0000
Fe: 0.0000 0.0000 0.0000
Fe: 0.7500 0.2500 0.5000

Output
Final energy = -62.58 eV/cell
Energy of formation from the pure elements = 0.21 eV per atom
SG = No. 122
Total moment = 0.0 Bohr magnetons per cell

***

Record 11
Computed, not measured: an optimized crystal structure of CuAs2Br at the PBE-GGA level of DFT.

Cell: 5.0731 5.0731 2.9954 Å, 90.00 90.00 90.00°
Atoms (fractional coordinates):
Cu: 0.0000 0.0000 0.0000
As: 0.0000 0.5000 0.5000
As: 0.5000 0.0000 0.5000
Br: 0.5000 0.5000 0.0000

Output
Final energy = -12.55 eV/cell
Formation energy (no corrections) = 0.630 eV/atom
SG = No. 123
Total moment = 0.0 Bohr magnetons per cell
Energy above the most stable polymorph in this dataset = 2.619 eV/f.u.

***

Record 12
Computed, not measured: an optimized crystal structure of In2HRh6 at the PBE-GGA level of DFT.

Cell: 5.6217 5.6217 5.6217 Å, 119.55 119.55 90.77°
Atoms (fractional coordinates):
In: 0.2500 0.7500 0.5000
In: 0.7500 0.2500 0.5000
H: 0.0000 0.0000 0.0000
Rh: 0.2519 0.2519 0.5039
Rh: 0.2519 0.7481 0.0000
Rh: 0.2534 0.2534 0.0000
Rh: 0.7466 0.7466 0.0000
Rh: 0.7481 0.2519 0.0000
Rh: 0.7481 0.7481 0.4961

Output
Final energy = -54.42 eV/cell
SG = No. 139
Total moment = 0.0 Bohr magnetons per cell

***

Record 13
Computed, not measured: an optimized crystal structure of PtRh4 at the PBE-GGA level of DFT.

Cell: 4.7353 4.7353 4.7353 Å, 90.00 90.00 90.00°
Atoms (fractional coordinates):
Pt: 0.0000 0.0000 0.0000
Rh: 0.0000 0.0000 0.5000
Rh: 0.0000 0.5000 0.0000
Rh: 0.5000 0.0000 0.0000
Rh: 0.5000 0.5000 0.5000

Output
Final energy = -26.80 eV/cell
Energy of formation from the pure elements = 1.73 eV per atom
SG = No. 221
Total moment = 4.0 Bohr magnetons per cell
Energy above the most stable polymorph in this dataset = 8.723 eV/f.u.

***

Record 14
Computed, not measured: an optimized crystal structure of Sr3Ca4Ac2 at the PBE-GGA level of DFT.

Cell: 10.1100 10.1100 10.1160 Å, 99.54 99.54 24.23°
Atoms (fractional coordinates):
Sr: 0.0000 0.0000 0.0000
Sr: 0.1235 0.1235 0.6925
Sr: 0.8765 0.8765 0.3075
Ca: 0.2146 0.2146 0.3536
Ca: 0.4450 0.4450 0.6556
Ca: 0.5550 0.5550 0.3444
Ca: 0.7854 0.7854 0.6464
Ac: 0.3225 0.3225 0.9588
Ac: 0.6775 0.6775 0.0412

Output
Final energy = -20.87 eV/cell
Energy of formation from the pure elements = 0.04 eV per atom
SG = No. 12
Total moment = 0.0 Bohr magnetons per cell

***

Record 15
Computed, not measured: an optimized crystal structure of TiNbHPd2 at the PBE-GGA level of DFT.

Cell: 3.9416 3.9416 4.2569 Å, 90.00 90.00 90.00°
Atoms (fractional coordinates):
Ti: 0.0000 0.0000 0.0000
Nb: 0.5000 0.5000 0.0000
H: 0.0000 0.0000 0.5000
Pd: 0.0000 0.5000 0.5000
Pd: 0.5000 0.0000 0.5000

Output
Final energy = -33.03 eV/cell
SG = No. 123
Total moment = 0.0 Bohr magnetons per cell

***

Record 16
Computed, not measured: an optimized crystal structure of Pr3Y5Bi8 at the PBE-GGA level of DFT.

Cell: 9.0864 9.0864 9.0864 Å, 60.04 60.04 60.04°
Atoms (fractional coordinates):
Pr: 0.0000 0.5000 0.5000
Pr: 0.5000 0.0000 0.5000
Pr: 0.5000 0.5000 0.0000
Y: 0.0000 0.0000 0.0000
Y: 0.0000 0.0000 0.5000
Y: 0.0000 0.5000 0.0000
Y: 0.5000 0.0000 0.0000
Y: 0.5000 0.5000 0.5000
Bi: 0.2433 0.7500 0.7500
Bi: 0.2467 0.2467 0.2467
Bi: 0.2500 0.2500 0.7567
Bi: 0.2500 0.7567 0.2500
Bi: 0.7500 0.2433 0.7500
Bi: 0.7500 0.7500 0.2433
Bi: 0.7533 0.7533 0.7533
Bi: 0.7567 0.2500 0.2500

Output
Final energy = -92.36 eV/cell
Energy of formation from the pure elements = -0.92 eV per atom
SG = No. 166
Total moment = 0.0 Bohr magnetons per cell

***

Record 17
Computed, not measured: an optimized crystal structure of SrScAs2 at the PBE-GGA level of DFT.

Cell: 5.0701 5.0701 5.0701 Å, 60.00 60.00 60.00°
Atoms (fractional coordinates):
Sr: 0.0000 0.0000 0.0000
Sc: 0.2500 0.2500 0.2500
As: 0.5000 0.5000 0.5000
As: 0.7500 0.7500 0.7500

Output
Final energy = -17.87 eV/cell
Energy of formation from the pure elements = -0.14 eV per atom
SG = No. 216
Total moment = 0.0 Bohr magnetons per cell
Energy above the most stable polymorph in this dataset = 3.805 eV/f.u.

***

Record 18
Computed, not measured: an optimized crystal structure of CdSnBiF2 at the PBE-GGA level of DFT.

Cell: 4.4631 4.4631 6.2405 Å, 90.00 90.00 90.00°
Atoms (fractional coordinates):
Cd: 0.0000 0.0000 0.0000
Sn: 0.5000 0.5000 0.5000
Bi: 0.5000 0.5000 0.0000
F: 0.0000 0.5000 0.5000
F: 0.5000 0.0000 0.5000

Output
Final energy = -18.63 eV/cell
Formation energy (no corrections) = -1.217 eV/atom
SG = No. 123
Total moment = 0.0 Bohr magnetons per cell

***

Record 19
Computed, not measured: an optimized crystal structure of Rb2Cu2HS2 at the PBE-GGA level of DFT.

Cell: 5.9991 5.9991 7.8485 Å, 121.89 121.89 39.47°
Atoms (fractional coordinates):
Rb: 0.0582 0.0582 0.3305
Rb: 0.9418 0.9418 0.6695
Cu: 0.3228 0.3228 0.9319
Cu: 0.6772 0.6772 0.0681
H: 0.5000 0.5000 0.0000
S: 0.2876 0.2876 0.2130
S: 0.7124 0.7124 0.7870

Output
Final energy = -25.19 eV/cell
SG = No. 12
Total moment = 0.0 Bohr magnetons per cell

***

Record 20
Computed, not measured: an optimized crystal structure of Cd2In2Pb5 at the PBE-GGA level of DFT.

Cell: 7.2584 7.2584 7.9197 Å, 105.27 105.27 40.45°
Atoms (fractional coordinates):
Cd: 0.2203 0.2203 0.3237
Cd: 0.7797 0.7797 0.6763
In: 0.3315 0.3315 0.0128
In: 0.6685 0.6685 0.9872
Pb: 0.0000 0.0000 0.0000
Pb: 0.1209 0.1209 0.6675
Pb: 0.4342 0.4342 0.6625
Pb: 0.5658 0.5658 0.3375
Pb: 0.8791 0.8791 0.3325

Output
Final energy = -25.60 eV/cell
Energy of formation from the pure elements = 0.03 eV per atom
SG = No. 12
Total moment = 0.0 Bohr magnetons per cell

***

Record 21
Computed, not measured: an optimized crystal structure of CdAsHPd4 at the PBE-GGA level of DFT.

Cell: 7.4472 7.4472 5.5452 Å, 90.00 90.00 136.66°
Atoms (fractional coordinates):
Cd: 0.0997 0.9003 0.7500
Cd: 0.9003 0.0997 0.2500
As: 0.3787 0.6213 0.7500
As: 0.6213 0.3787 0.2500
H: 0.2401 0.7599 0.2500
H: 0.7599 0.2401 0.7500
Pd: 0.0000 0.5000 0.0000
Pd: 0.0000 0.5000 0.5000
Pd: 0.0926 0.9074 0.2500
Pd: 0.4467 0.5533 0.2500
Pd: 0.5000 0.0000 0.0000
Pd: 0.5000 0.0000 0.5000
Pd: 0.5533 0.4467 0.7500
Pd: 0.9074 0.0926 0.7500

Output
Final energy = -62.31 eV/cell
SG = No. 63
Total moment = 0.0 Bohr magnetons per cell

***

Record 22
Computed, not measured: an optimized crystal structure of Ca3Mg5Tl2 at the PBE-GGA level of DFT.

Cell: 10.0287 10.0287 10.0287 Å, 101.20 90.63 142.64°
Atoms (fractional coordinates):
Ca: 0.2451 0.1235 0.3686
Ca: 0.2500 0.2500 0.0000
Ca: 0.2549 0.6235 0.8783
Ca: 0.7451 0.3765 0.1217
Ca: 0.7500 0.7500 0.0000
Ca: 0.7549 0.8765 0.6314
Mg: 0.1481 0.3753 0.5234
Mg: 0.2500 0.5073 0.2573
Mg: 0.2500 0.7500 0.5000
Mg: 0.2500 0.9927 0.7427
Mg: 0.3519 0.8753 0.2272
Mg: 0.6481 0.1247 0.7728
Mg: 0.7500 0.0073 0.2573
Mg: 0.7500 0.2500 0.5000
Mg: 0.7500 0.4927 0.7427
Mg: 0.8519 0.6247 0.4766
Tl: 0.1499 0.8614 0.0114
Tl: 0.3501 0.3614 0.7115
Tl: 0.6499 0.6386 0.2885
Tl: 0.8501 0.1386 0.9886

Output
Final energy = -39.31 eV/cell
Energy of formation from the pure elements = -0.09 eV per atom
SG = No. 72
Total moment = 0.0 Bohr magnetons per cell

***

Record 23
Computed, not measured: an optimized crystal structure of CuAgPd5 at the PBE-GGA level of DFT.

Cell: 6.3272 6.3272 6.3272 Å, 132.10 90.37 108.86°
Atoms (fractional coordinates):
Cu: 0.0000 0.0000 0.0000
Ag: 0.3657 0.8657 0.5000
Pd: 0.4089 0.6599 0.7490
Pd: 0.6875 0.4387 0.7512
Pd: 0.6875 0.9364 0.2488
Pd: 0.9110 0.6599 0.2510
Pd: 0.9938 0.4938 0.5000

Output
Final energy = -27.07 eV/cell
Energy of formation from the pure elements = 0.83 eV per atom
SG = No. 44
Total moment = 0.0 Bohr magnetons per cell
Energy above the most stable polymorph in this dataset = 4.885 eV/f.u.

***

Record 24
Computed, not measured: an optimized crystal structure of VCoGe2Sb at the PBE-GGA level of DFT.

Cell: 4.7048 4.7048 5.0768 Å, 90.00 90.00 90.00°
Atoms (fractional coordinates):
V: 0.0000 0.0000 0.0000
Co: 0.5000 0.5000 0.5000
Ge: 0.0000 0.5000 0.0000
Ge: 0.5000 0.0000 0.0000
Sb: 0.0000 0.0000 0.5000

Output
Final energy = -25.66 eV/cell
Formation energy (no corrections) = 0.784 eV/atom
SG = No. 123
Total moment = 2.9 Bohr magnetons per cell